Computed, not measured: a relaxed structure of CdIrW at the PBEsol level of DFT.

Cell lengths 4.293, 4.293, 4.293 Å; angles 60.00, 60.00, 60.00 degrees
Element x y z (fractional)
Cd  0.500  0.500  0.500
Ir  0.250  0.250  0.250
W  0.000  0.000  0.000

Results
**DFT formation energy**: 536.7 meV per atom
**SG**: F-43m, No. 216
**M_tot**: 0.00 μB/f.u.
**Density**: 14.494 g/cm³
**DFT total energy**: -23.2 eV for the cell shown
**Energy relative to the lowest polymorph listed for this composition**: 0.81 eV/f.u.